The following is a PBE calculation of PmEr12Sc3 after structural relaxation, from Alexandria.

Cell lengths 4.9120, 4.9120, 19.6098 Å; angles 90.00, 90.00, 90.00 degrees
Closest atoms and distances in Å follow each position.
Space group P4/mmm (No. 123)
One atom of each set of equivalent atoms:
Pm  0.0000  0.0000  0.0000 (multiplicity 1)  12 Er 3.47-3.54
Er  0.0000  0.5000  0.1300 (multiplicity 4)  2 Sc 3.44, 8 Er 3.46-3.54, 2 Pm 3.54
Er  0.0000  0.5000  0.3767 (multiplicity 4)  8 Er 3.44-3.47, 4 Sc 3.45
Er  0.5000  0.5000  0.0000 (multiplicity 1)  4 Pm 3.47, 8 Er 3.54
Er  0.5000  0.5000  0.2542 (multiplicity 2)  8 Er 3.44-3.46, 4 Sc 3.47
Er  0.5000  0.5000  0.5000 (multiplicity 1)  8 Er 3.45, 4 Sc 3.47
Sc  0.0000  0.0000  0.2530 (multiplicity 2)  12 Er 3.44-3.47
Sc  0.0000  0.0000  0.5000 (multiplicity 1)  12 Er 3.45-3.47

Summary:
energy relative to the elements	0.039	eV/atom

=====

The following is a PBE calculation of Nd4Dy2Sb3N2 after structural relaxation, from Alexandria.

Cell lengths 4.7934, 4.7934, 25.6593 Å; angles 90.00, 90.00, 90.00 degrees
Closest atoms and distances in Å follow each position.
Space group I4/mmm (No. 139)
One atom of each set of equivalent atoms:
Nd  0.0000  0.5000  0.0842 (multiplicity 8)  2 N 2.48
Dy  0.0000  0.0000  0.1931 (multiplicity 4)  1 N 2.18
Sb  0.0000  0.0000  0.3184 (multiplicity 4)  5 Dy 3.21-3.40, 4 Nd 3.46
Sb  0.0000  0.0000  0.5000 (multiplicity 2)  8 Nd 3.23
N  0.0000  0.0000  0.1083 (multiplicity 4)  1 Dy 2.18

Summary:
ΔE_f (raw)	-1121	meV/atom

=====

The following is a PBE calculation of BaPuMnN4 after structural relaxation, from Alexandria.

Cell lengths 5.6993, 5.5419, 7.4542 Å; angles 90.00, 107.10, 90.00 degrees
Closest atoms and distances in Å follow each position.
Space group P2_1/m (No. 11)
One atom of each set of equivalent atoms:
Ba  0.2135  0.2500  0.4233 (multiplicity 2)  6 N 2.76-2.93
Pu  0.2693  0.2500  0.9457 (multiplicity 2)  6 N 2.30-2.46
Mn  0.2709  0.7500  0.1686 (multiplicity 2)  4 N 1.71-1.76
N  0.0711  0.7500  0.9475 (multiplicity 2)  1 Mn 1.71
N  0.0763  0.7500  0.3128 (multiplicity 2)  1 Mn 1.76
N  0.4675  0.5062  0.1933 (multiplicity 4)  1 Mn 1.73

Summary:
ΔE_f (raw)	-695	meV/atom

=====

| no. | magnetic moment (μB per cell) | E_tot (eV/atom) |
| --- | --- | --- |
| 1 | 0.0 | -4.87 |
| 2 | 0.0 | -6.33 |
| 3 | 10.0 | -9.08 |